# 1
The following is a DFT calculation (PBE-GGA) of a geometry-optimized LaAlRhPb2 structure.

The structure belongs to space group P4/mmm (No. 123); the cell edges are 6.231, 6.231 and 4.815 Å and the angles 90.00°, 90.00° and 90.00°. Symmetry generates all atoms from La at (0.000, 0.000, 0.000), Al at (0.500, 0.500, 0.500), Rh at (0.000, 0.000, 0.500) and Pb at (0.000, 0.500, 0.000).

# 2
The following is a DFT calculation (PBE-GGA) of a geometry-optimized La2AlRhPb structure.

The structure belongs to space group P4/mmm (No. 123); the cell edges are 5.498, 5.498 and 4.849 Å and the angles 90.00°, 90.00° and 90.00°. Symmetry generates all atoms from La at (0.000, 0.500, 0.000), Al at (0.000, 0.000, 0.500), Rh at (0.000, 0.000, 0.000) and Pb at (0.500, 0.500, 0.500).

# 3
The following is a DFT calculation (PBE-GGA) of a geometry-optimized La2ScAlPb structure.

The structure belongs to space group P4/mmm (No. 123); the cell edges are 5.572, 5.572 and 5.502 Å and the angles 90.00°, 90.00° and 90.00°. Symmetry generates all atoms from La at (0.000, 0.500, 0.000), Sc at (0.000, 0.000, 0.000), Al at (0.500, 0.500, 0.500) and Pb at (0.000, 0.000, 0.500).

# 4
The following is a DFT calculation (PBE-GGA) of a geometry-optimized La2AlSnPb structure.

The structure belongs to space group Pmmn (No. 59, origin choice 2); the cell edges are 4.359, 9.588 and 7.283 Å and the angles 90.00°, 90.00° and 90.00°. Symmetry generates all atoms from La at (0.250, 0.016, 0.229), Al at (0.250, 0.750, 0.921), Sn at (0.250, 0.250, 0.847) and Pb at (0.250, 0.750, 0.532).

Values of E_tot, in order: -0.2842; -0.4071; -0.3136; -0.3541, all in Ry per atom.
Values of DFT formation energy, in order: 821; -607; 461; -556, all in meV per atom.